[1]
Here is a relaxed Na3Zn3Sn2 crystal from the Alexandria database. Energies are from PBE.

Unit cell a=4.6008 b=6.1362 c=15.0428 alpha=90.00 beta=90.00 gamma=112.02
Positions (direct):
1 Na 0.9225 0.8449 0.3865
2 Na 0.0775 0.1551 0.8865
3 Na 0.9225 0.8449 0.1135
4 Na 0.0775 0.1551 0.6135
5 Na 0.6231 0.2463 0.2500
6 Na 0.3769 0.7537 0.7500
7 Zn 0.6017 0.2034 0.4654
8 Zn 0.3983 0.7966 0.9654
9 Zn 0.6017 0.2034 0.0346
10 Zn 0.3983 0.7966 0.5346
11 Zn 0.3385 0.6770 0.2500
12 Zn 0.6615 0.3230 0.7500
13 Sn 0.7900 0.5801 0.9048
14 Sn 0.2100 0.4199 0.4048
15 Sn 0.7900 0.5801 0.5952
16 Sn 0.2100 0.4199 0.0952

Output
Raw total energy = -2.0337 eV/atom
N(E_F) = 0.373 states/eV per atom
Size of the total moment = 0.00 μB/cell


[2]
Here is a relaxed Cs2Ti3Te8 crystal from the Alexandria database. Energies are from PBE.

Unit cell a=6.6827 b=7.8375 c=10.5937 alpha=111.71 beta=102.82 gamma=90.00
Positions (direct):
1 Cs 0.3118 0.2532 0.5064
2 Cs 0.6882 0.7468 0.4936
3 Ti 0.5000 0.0000 0.0000
4 Ti 0.0000 0.2555 0.0000
5 Ti 0.0000 0.7445 0.0000
6 Te 0.8901 0.5831 0.1662
7 Te 0.1099 0.4169 0.8338
8 Te 0.8925 0.0870 0.1740
9 Te 0.1075 0.9130 0.8260
10 Te 0.6103 0.6737 0.8265
11 Te 0.6103 0.1528 0.8265
12 Te 0.3897 0.8472 0.1735
13 Te 0.3897 0.3263 0.1735

Output
N(E_F) = 0.383 states/eV per atom
Size of the total moment = 0.00 μB/cell
Energy relative to the elements, uncorrected = -689 meV per atom


[3]
Here is a relaxed KH2IO crystal from the Alexandria database. Energies are from PBE.

Unit cell a=4.4270 b=6.7455 c=7.2908 alpha=90.00 beta=90.00 gamma=109.16
Positions (direct):
1 K 0.3982 0.7964 0.7500
2 K 0.6018 0.2036 0.2500
3 H 0.0630 0.1259 0.9263
4 H 0.9370 0.8741 0.0737
5 H 0.0630 0.1259 0.5737
6 H 0.9370 0.8741 0.4263
7 I 0.6784 0.3567 0.7500
8 I 0.3216 0.6433 0.2500
9 O 0.0000 0.0000 0.0000
10 O 0.0000 0.0000 0.5000

Output
Raw total energy = -3.8006 eV/atom
N(E_F) = 0.000 states/eV per atom
Size of the total moment = 0.00 μB/cell


[4]
Here is a relaxed Ti5GaSn3 crystal from the Alexandria database. Energies are from PBE.

Unit cell a=5.5774 b=8.2500 c=8.2500 alpha=120.00 beta=90.00 gamma=90.00
Positions (direct):
1 Ti 0.0000 0.3333 0.6667
2 Ti 0.5000 0.6667 0.3333
3 Ti 0.0000 0.6667 0.3333
4 Ti 0.5000 0.3333 0.6667
5 Ti 0.7500 0.7324 0.0000
6 Ti 0.7500 0.2676 0.2676
7 Ti 0.7500 0.0000 0.7324
8 Ti 0.2500 0.2676 0.0000
9 Ti 0.2500 0.7324 0.7324
10 Ti 0.2500 0.0000 0.2676
11 Ga 0.0000 0.0000 0.0000
12 Ga 0.5000 0.0000 0.0000
13 Sn 0.7500 0.3878 0.0000
14 Sn 0.7500 0.6122 0.6122
15 Sn 0.7500 0.0000 0.3878
16 Sn 0.2500 0.6122 0.0000
17 Sn 0.2500 0.3878 0.3878
18 Sn 0.2500 0.0000 0.6122

Output
Raw total energy = -6.5103 eV/atom
N(E_F) = 0.890 states/eV per atom
Size of the total moment = 0.00 μB/cell